Record 1
K4Rb9Cd: optimized geometry, PBE-GGA.

Lattice parameters (Å, degrees): 13.9549 13.5621 13.5621 120.00 90.00 90.00
Closest atoms and distances in Å follow each position.
Element x y z (fractional)
Rb  0.0591  0.7897  0.5794  1 Cd 3.93
K  0.2500  0.1130  0.8870  4 K 4.38-4.60, 4 Rb 4.52-4.88
Rb  0.5591  0.2103  0.4206  1 Cd 3.93
K  0.7500  0.2260  0.1130  4 K 4.38-4.60, 4 Rb 4.52-4.88
K  0.7500  0.8870  0.7740  4 K 4.38-4.60, 4 Rb 4.52-4.88
Rb  0.2500  0.4669  0.9338  2 K 4.52, 1 Cd 4.69, 4 Rb 4.89
Rb  0.0591  0.7897  0.2103  1 Cd 3.93
Rb  0.9409  0.5794  0.7897  1 Cd 3.93
Rb  0.9409  0.2103  0.4206  1 Cd 3.93
K  0.7500  0.8870  0.1130  4 K 4.38-4.60, 4 Rb 4.52-4.88
Cd  0.2500  0.6667  0.3333  6 Rb 3.93
K  0.0000  0.0000  0.0000  6 K 4.38
Rb  0.2500  0.4669  0.5331  2 K 4.52, 1 Cd 4.69, 4 Rb 4.89
Rb  0.5591  0.2103  0.7897  1 Cd 3.93
K  0.2500  0.1130  0.2260  4 K 4.38-4.60, 4 Rb 4.52-4.88
Cd  0.7500  0.3333  0.6667  6 Rb 3.93
K  0.5000  0.0000  0.0000  6 K 4.38
Rb  0.4409  0.7897  0.2103  1 Cd 3.93
Rb  0.5591  0.5794  0.7897  1 Cd 3.93
Rb  0.7500  0.5331  0.4669  2 K 4.52, 1 Cd 4.69, 4 Rb 4.89
Rb  0.7500  0.9338  0.4669  2 K 4.52, 1 Cd 4.69, 4 Rb 4.89
Rb  0.4409  0.7897  0.5794  1 Cd 3.93
K  0.2500  0.7740  0.8870  4 K 4.38-4.60, 4 Rb 4.52-4.88
Rb  0.0591  0.4206  0.2103  1 Cd 3.93
Rb  0.9409  0.2103  0.7897  1 Cd 3.93
Rb  0.4409  0.4206  0.2103  1 Cd 3.93
Rb  0.7500  0.5331  0.0662  2 K 4.52, 1 Cd 4.69, 4 Rb 4.89
Rb  0.2500  0.0662  0.5331  2 K 4.52, 1 Cd 4.69, 4 Rb 4.89

## Properties
Formation enthalpy at 0 K, meV/atom: 3
Total moment, μB/atom: 0.000
Symmetry: P6_3/mmc (194)
Total DFT energy (no corrections), eV per atom: -1.00

Record 2
TiSn2Mo: optimized geometry, PBE-GGA.

Lattice parameters (Å, degrees): 6.3124 6.3124 7.6488 65.63 65.63 90.00
Closest atoms and distances in Å follow each position.
Element x y z (fractional)
Sn  0.1136  0.6250  0.2500  2 Mo 2.68, 2 Ti 2.76
Sn  0.6364  0.1250  0.2500  2 Mo 2.68, 2 Ti 2.76
Sn  0.3750  0.3636  0.7500  2 Mo 2.68, 2 Ti 2.76
Mo  0.7500  0.2500  0.5000  4 Sn 2.68
Sn  0.8750  0.8864  0.7500  2 Mo 2.68, 2 Ti 2.76
Ti  0.2500  0.7500  0.5000  4 Sn 2.76
Mo  0.0000  0.0000  0.0000  4 Sn 2.68
Ti  0.5000  0.5000  0.0000  4 Sn 2.76

## Properties
Formation enthalpy at 0 K, meV/atom: 1196
Total moment, μB/atom: 0.500
Symmetry: I-42d (122)
Total DFT energy (no corrections), eV per atom: -5.49
Energy above the lowest structure with this stoichiometry, eV/atom: 1.105

Record 3
PrBi2Ir: optimized geometry, PBE-GGA.

Lattice parameters (Å, degrees): 3.7019 3.7019 10.3901 79.74 79.74 60.00
Closest atoms and distances in Å follow each position.
Element x y z (fractional)
Pr  0.0000  0.0000  0.0000  2 Bi 3.31, 6 Pr 3.70
Bi  0.8914  0.8914  0.3259  3 Ir 2.78
Ir  0.5000  0.5000  0.5000  6 Bi 2.78
Bi  0.1086  0.1086  0.6741  3 Ir 2.78

## Properties
Formation enthalpy at 0 K, meV/atom: 135
Total moment, μB/atom: 0.000
Symmetry: R-3m (166)
Total DFT energy (no corrections), eV per atom: -5.22

Record 4
LaEuDyMg: optimized geometry, PBE-GGA.

Lattice parameters (Å, degrees): 5.6954 5.6954 5.6954 60.00 60.00 60.00
Closest atoms and distances in Å follow each position.
Element x y z (fractional)
Dy  0.2500  0.2500  0.2500  4 Mg 3.49, 4 Eu 3.49
Eu  0.5000  0.5000  0.5000  4 Dy 3.49, 4 La 3.49
La  0.7500  0.7500  0.7500  4 Eu 3.49, 4 Mg 3.49
Mg  0.0000  0.0000  0.0000  4 La 3.49, 4 Dy 3.49

## Properties
Formation enthalpy at 0 K, meV/atom: 57
Total moment, μB/atom: 1.815
Symmetry: F-43m (216)
Total DFT energy (no corrections), eV per atom: -5.29

Record 5
La2PmGe2: optimized geometry, PBE-GGA.

Lattice parameters (Å, degrees): 4.5002 7.9305 7.9305 90.00 90.00 90.00
Closest atoms and distances in Å follow each position.
Element x y z (fractional)
La  0.5000  0.6746  0.8254  6 Ge 3.23-3.27
Ge  0.0000  0.3806  0.8806  1 Ge 2.68
Pm  0.0000  0.0000  0.0000  4 Ge 3.16
La  0.5000  0.8254  0.3254  6 Ge 3.23-3.27
La  0.5000  0.3254  0.1746  6 Ge 3.23-3.27
La  0.5000  0.1746  0.6746  6 Ge 3.23-3.27
Ge  0.0000  0.6194  0.1194  1 Ge 2.68
Pm  0.0000  0.5000  0.5000  4 Ge 3.16
Ge  0.0000  0.1194  0.3806  1 Ge 2.68
Ge  0.0000  0.8806  0.6194  1 Ge 2.68

## Properties
Formation enthalpy at 0 K, meV/atom: -760
Total moment, μB/atom: 0.016
Symmetry: P4/mbm (127)
Total DFT energy (no corrections), eV per atom: -5.53

Record 6
Tb7Pm2Tm2: optimized geometry, PBE-GGA.

Lattice parameters (Å, degrees): 6.8540 9.4624 6.8540 90.00 122.89 90.00
Closest atoms and distances in Å follow each position.
Element x y z (fractional)
Tb  0.4998  0.1820  0.5002  2 Tm 3.23-3.24, 2 Pm 3.43, 1 Tb 3.44
Tb  0.0000  0.0000  0.0000  2 Tm 3.28
Tb  0.9998  0.3140  0.5003  5 Tb 3.28-3.65, 2 Tm 3.40, 2 Pm 3.48-3.49
Tb  0.5003  0.6860  0.9998  5 Tb 3.28-3.65, 2 Tm 3.40, 2 Pm 3.48-3.49
Tm  0.2725  0.0000  0.7275  7 Tb 3.23-3.40, 2 Tm 3.32
Pm  0.7509  0.5000  0.7509  2 Pm 3.26-3.29, 6 Tb 3.43-3.49
Tm  0.7275  0.0000  0.2725  7 Tb 3.23-3.40, 2 Tm 3.32
Tb  0.4997  0.3140  0.0002  5 Tb 3.28-3.65, 2 Tm 3.40, 2 Pm 3.48-3.49
Pm  0.2491  0.5000  0.2491  2 Pm 3.26-3.29, 6 Tb 3.43-3.49
Tb  0.5002  0.8180  0.4998  2 Tm 3.23-3.24, 2 Pm 3.43, 1 Tb 3.44
Tb  0.0002  0.6860  0.4997  5 Tb 3.28-3.65, 2 Tm 3.40, 2 Pm 3.48-3.49

## Properties
Formation enthalpy at 0 K, meV/atom: 354
Total moment, μB/atom: 0.000
Symmetry: Cmmm (65)
Total DFT energy (no corrections), eV per atom: -4.27
Energy above the lowest structure with this stoichiometry, eV/atom: 0.238

Record 7
Na3HfZr3S8: optimized geometry, PBE-GGA.

Lattice parameters (Å, degrees): 7.3238 7.3124 8.1033 116.72 90.00 120.05
Closest atoms and distances in Å follow each position.
Element x y z (fractional)
Na  0.0000  0.0000  0.0000  6 S 2.84-2.86
S  0.7624  0.0185  0.2809  1 Hf 2.58, 2 Zr 2.61, 2 Na 2.86
S  0.2562  0.0185  0.2809  1 Hf 2.58, 2 Zr 2.61, 2 Na 2.86
Zr  0.0000  0.5000  0.5000  6 S 2.61-2.63
Na  0.0000  0.5000  0.0000  6 S 2.84-2.86
S  0.2581  0.5162  0.2746  3 Zr 2.63, 3 Na 2.84
S  0.2378  0.4755  0.7189  1 Hf 2.58, 2 Zr 2.61, 2 Na 2.86
Zr  0.5000  0.5000  0.5000  6 S 2.61-2.63
Hf  0.0000  0.0000  0.5000  6 S 2.58
Na  0.5000  0.5000  0.0000  6 S 2.84-2.86
S  0.7419  0.4838  0.7254  3 Zr 2.63, 3 Na 2.84
Zr  0.5000  0.0000  0.5000  6 S 2.61-2.63
S  0.2376  0.9815  0.7191  1 Hf 2.58, 2 Zr 2.61, 2 Na 2.86
S  0.7622  0.5245  0.2811  1 Hf 2.58, 2 Zr 2.61, 2 Na 2.86
S  0.7438  0.9815  0.7191  1 Hf 2.58, 2 Zr 2.61, 2 Na 2.86

## Properties
E_form (uncorrected), eV/atom: -1.53
Total moment, μB/atom: 0.000
Symmetry: C2/m (12)
Total DFT energy (no corrections), eV per atom: -6.37

Record 8
La2PdSe2: optimized geometry, PBE-GGA.

Lattice parameters (Å, degrees): 7.9863 7.9863 3.9395 90.00 90.00 90.00
Closest atoms and distances in Å follow each position.
Element x y z (fractional)
Se  0.6451  0.1451  0.0000  6 La 2.92-3.16, 2 Pd 3.06
Se  0.1451  0.3549  0.0000  6 La 2.92-3.16, 2 Pd 3.06
La  0.1642  0.6642  0.5000  6 Se 2.92-3.16
La  0.3358  0.1642  0.5000  6 Se 2.92-3.16
Se  0.3549  0.8549  0.0000  6 La 2.92-3.16, 2 Pd 3.06
La  0.6642  0.8358  0.5000  6 Se 2.92-3.16
La  0.8358  0.3358  0.5000  6 Se 2.92-3.16
Pd  0.5000  0.5000  0.0000  4 Se 3.06
Se  0.8549  0.6451  0.0000  6 La 2.92-3.16, 2 Pd 3.06
Pd  0.0000  0.0000  0.0000  4 Se 3.06

## Properties
E_form (uncorrected), eV/atom: -1.39
Total moment, μB/atom: 0.000
Symmetry: P4/mbm (127)
Total DFT energy (no corrections), eV per atom: -5.80

Record 9
PmHfBeIr2: optimized geometry, PBE-GGA.

Lattice parameters (Å, degrees): 3.9890 3.9890 6.6259 107.52 107.52 90.00
Closest atoms and distances in Å follow each position.
Element x y z (fractional)
Ir  0.6131  0.6131  0.2262  2 Hf 2.58, 2 Be 2.58, 1 Ir 2.71
Pm  0.0000  0.0000  0.0000  8 Ir 3.13
Be  0.2500  0.7500  0.5000  4 Ir 2.58, 4 Hf 2.82
Ir  0.3869  0.3869  0.7738  2 Hf 2.58, 2 Be 2.58, 1 Ir 2.71
Hf  0.7500  0.2500  0.5000  4 Ir 2.58, 4 Be 2.82

## Properties
Formation enthalpy at 0 K, meV/atom: -641
Total moment, μB/atom: 0.000
Symmetry: I-4m2 (119)
Total DFT energy (no corrections), eV per atom: -7.87

Record 10
La2SnO: optimized geometry, PBE-GGA.

Lattice parameters (Å, degrees): 5.2660 5.2660 5.2660 60.00 60.00 60.00
Closest atoms and distances in Å follow each position.
Element x y z (fractional)
La  0.7500  0.7500  0.7500  4 O 3.22, 4 Sn 3.22
La  0.2500  0.2500  0.2500  4 Sn 3.22, 4 O 3.22
Sn  0.5000  0.5000  0.5000  8 La 3.22
O  0.0000  0.0000  0.0000  8 La 3.22

## Properties
E_form (uncorrected), eV/atom: -0.90
Total moment, μB/atom: 0.000
Symmetry: Fm-3m (225)
Total DFT energy (no corrections), eV per atom: -5.60
Energy above the lowest structure with this stoichiometry, eV/atom: 0.989

Record 11
K2YBe2O4: optimized geometry, PBE-GGA.

Lattice parameters (Å, degrees): 3.3459 9.2717 6.3123 101.10 105.37 90.00
Closest atoms and distances in Å follow each position.
Element x y z (fractional)
O  0.8031  0.9297  0.6062  1 Be 1.59
K  0.1545  0.6846  0.3090  4 O 2.82-3.10, 2 Be 3.15
K  0.8455  0.3154  0.6910  4 O 2.82-3.10, 2 Be 3.15
Be  0.6853  0.9782  0.3706  2 O 1.56-1.59
O  0.1969  0.0703  0.3938  1 Be 1.59
Be  0.3147  0.0218  0.6294  2 O 1.56-1.59
O  0.5658  0.8783  0.1315  1 Be 1.56
Y  0.0000  0.0000  0.0000  6 O 2.25-2.35
O  0.4342  0.1217  0.8685  1 Be 1.56

## Properties
E_form (uncorrected), eV/atom: -2.24
Total moment, μB/atom: 0.000
Symmetry: C2/m (12)
Total DFT energy (no corrections), eV per atom: -6.24

Record 12
CaAlN2: optimized geometry, PBE-GGA.

Lattice parameters (Å, degrees): 6.4595 6.4595 6.4595 32.64 32.64 32.64
Closest atoms and distances in Å follow each position.
Element x y z (fractional)
N  0.0954  0.0954  0.0954  1 Al 1.75
N  0.9046  0.9046  0.9046  1 Al 1.75
Ca  0.5000  0.5000  0.5000  6 N 2.47
Al  0.0000  0.0000  0.0000  2 N 1.75

## Properties
E_form (uncorrected), eV/atom: -0.09
Total moment, μB/atom: 0.249
Symmetry: R-3m (166)
Total DFT energy (no corrections), eV per atom: -5.68

Record 13
AcLaPuGa: optimized geometry, PBE-GGA.

Lattice parameters (Å, degrees): 5.5388 5.5388 5.5388 60.00 60.00 60.00
Closest atoms and distances in Å follow each position.
Element x y z (fractional)
Pu  0.0000  0.0000  0.0000  4 Ga 3.39, 4 Ac 3.39
Ga  0.2500  0.2500  0.2500  4 La 3.39, 4 Pu 3.39
La  0.5000  0.5000  0.5000  4 Ac 3.39, 4 Ga 3.39
Ac  0.7500  0.7500  0.7500  4 La 3.39, 4 Pu 3.39

## Properties
Formation enthalpy at 0 K, meV/atom: 118
Total moment, μB/atom: 1.933
Symmetry: F-43m (216)
Total DFT energy (no corrections), eV per atom: -6.48

Record 14
ReNi5: optimized geometry, PBE-GGA.

Lattice parameters (Å, degrees): 2.5579 6.7141 4.1300 90.00 90.00 79.02
Closest atoms and distances in Å follow each position.
Element x y z (fractional)
Ni  0.2212  0.5575  0.5000  10 Ni 2.49-2.56, 2 Re 2.58
Ni  0.5588  0.8824  0.5000  10 Ni 2.49-2.56, 2 Re 2.55
Ni  0.3287  0.3426  0.0000  8 Ni 2.50-2.61, 4 Re 2.57
Ni  0.0009  0.9981  0.0000  10 Ni 2.52-2.61, 2 Re 2.52
Ni  0.6657  0.6685  0.0000  12 Ni 2.50-2.56
Re  0.8912  0.2175  0.5000  10 Ni 2.52-2.58, 2 Re 2.56

## Properties
Formation enthalpy at 0 K, meV/atom: 29
Total moment, μB/atom: 0.298
Symmetry: Amm2 (38)
Total DFT energy (no corrections), eV per atom: -6.86
Energy above the lowest structure with this stoichiometry, eV/atom: 0.035

Record 15
LaDy2HoSe6: optimized geometry, PBE-GGA.

Lattice parameters (Å, degrees): 7.3133 7.3132 7.7473 61.83 61.83 59.99
Closest atoms and distances in Å follow each position.
Element x y z (fractional)
Dy  0.5168  0.5167  0.4499  6 Se 2.85-2.90
Se  0.7250  0.1360  0.7484  2 Dy 2.83-2.90, 1 Ho 2.89, 1 La 2.97
Se  0.3906  0.7250  0.7483  2 Dy 2.83-2.90, 1 Ho 2.90, 1 La 2.97
Se  0.9167  0.6099  0.2473  2 Dy 2.85-2.91, 1 Ho 2.86, 1 La 3.07
Dy  0.0119  0.0120  0.9643  6 Se 2.83-2.91
Se  0.2263  0.9166  0.2472  2 Dy 2.85-2.91, 1 Ho 2.86, 1 La 3.08
Se  0.6099  0.2264  0.2472  2 Dy 2.85-2.91, 1 Ho 2.86, 1 La 3.07
Se  0.1361  0.3907  0.7484  2 Dy 2.83-2.90, 1 Ho 2.89, 1 La 2.97
La  0.8102  0.8102  0.5693  6 Se 2.97-3.08
Ho  0.3183  0.3182  0.0451  6 Se 2.86-2.90

## Properties
E_form (uncorrected), eV/atom: -1.88
Total moment, μB/atom: 0.000
Symmetry: R3 (146)
Total DFT energy (no corrections), eV per atom: -5.84

Record 16
Dy4Cu: optimized geometry, PBE-GGA.

Lattice parameters (Å, degrees): 5.3625 5.3625 5.3625 90.00 90.00 90.00
Closest atoms and distances in Å follow each position.
Element x y z (fractional)
Dy  0.5000  0.0000  0.5000  2 Cu 2.68
Cu  0.5000  0.5000  0.5000  6 Dy 2.68
Dy  0.5000  0.5000  0.0000  2 Cu 2.68
Dy  0.0000  0.5000  0.5000  2 Cu 2.68
Dy  0.0000  0.0000  0.0000  12 Dy 3.79

## Properties
Formation enthalpy at 0 K, meV/atom: 132
Total moment, μB/atom: 0.000
Symmetry: Pm-3m (221)
Total DFT energy (no corrections), eV per atom: -4.37

Record 17
ZnSe2Cl: optimized geometry, PBE-GGA.

Lattice parameters (Å, degrees): 3.9757 3.9757 7.3989 90.00 90.00 122.22
Closest atoms and distances in Å follow each position.
Element x y z (fractional)
Zn  0.5000  0.5000  0.2500  4 Se 2.41
Cl  0.5000  0.5000  0.7500  4 Se 2.95
Se  0.0000  0.0000  0.0525  2 Zn 2.41
Se  0.0000  0.0000  0.4475  2 Zn 2.41

## Properties
E_form (uncorrected), eV/atom: 0.03
Total moment, μB/atom: 0.000
Symmetry: Cmmm (65)
Total DFT energy (no corrections), eV per atom: -2.50
Energy above the lowest structure with this stoichiometry, eV/atom: 0.406

Record 18
MgTlC2: optimized geometry, PBE-GGA.

Lattice parameters (Å, degrees): 4.2718 4.2718 4.2718 60.00 60.00 60.00
Closest atoms and distances in Å follow each position.
Element x y z (fractional)
C  0.2500  0.2500  0.2500  4 Tl 2.62, 4 Mg 2.62
Tl  0.5000  0.5000  0.5000  8 C 2.62
C  0.7500  0.7500  0.7500  4 Tl 2.62, 4 Mg 2.62
Mg  0.0000  0.0000  0.0000  8 C 2.62

## Properties
Formation enthalpy at 0 K, meV/atom: 2012
Total moment, μB/atom: 0.000
Symmetry: Fm-3m (225)
Total DFT energy (no corrections), eV per atom: -3.59
Energy above the lowest structure with this stoichiometry, eV/atom: 0.169

Record 19
Pm2Pr5Pd5: optimized geometry, PBE-GGA.

Lattice parameters (Å, degrees): 4.0797 7.2795 12.5339 103.08 90.00 106.27
Closest atoms and distances in Å follow each position.
Element x y z (fractional)
Pr  0.7482  0.4964  0.3568  5 Pd 2.96-3.19
Pr  0.2518  0.5036  0.6432  5 Pd 2.96-3.19
Pd  0.0000  0.0000  0.0000  2 Pm 2.89, 4 Pr 2.93
Pr  0.3452  0.6904  0.9519  5 Pd 2.93-3.16
Pd  0.1185  0.2369  0.4202  1 Pm 2.92, 5 Pr 2.95-2.97
Pm  0.0366  0.0732  0.7825  4 Pd 2.89-2.95
Pr  0.6548  0.3096  0.0481  5 Pd 2.93-3.16
Pr  0.5000  0.0000  0.5000  4 Pd 2.95
Pd  0.3065  0.6130  0.1873  2 Pm 2.95, 5 Pr 3.12-3.19
Pm  0.9634  0.9268  0.2175  4 Pd 2.89-2.95
Pd  0.8815  0.7631  0.5798  1 Pm 2.92, 5 Pr 2.95-2.97
Pd  0.6935  0.3870  0.8127  2 Pm 2.95, 5 Pr 3.12-3.19

## Properties
Formation enthalpy at 0 K, meV/atom: -570
Total moment, μB/atom: 0.000
Symmetry: C2/m (12)
Total DFT energy (no corrections), eV per atom: -5.52

Record 20
Sb2TeAuO: optimized geometry, PBE-GGA.

Lattice parameters (Å, degrees): 5.3984 5.3984 5.3574 90.00 90.00 90.00
Closest atoms and distances in Å follow each position.
Element x y z (fractional)
Au  0.0000  0.0000  0.0000  2 Te 2.68, 4 Sb 2.70
Te  0.0000  0.0000  0.5000  2 Au 2.68
Sb  0.5000  0.0000  0.0000  2 Au 2.70
O  0.5000  0.5000  0.5000  8 Sb 3.80, 4 Te 3.82
Sb  0.0000  0.5000  0.0000  2 Au 2.70

## Properties
E_form (uncorrected), eV/atom: 1.07
Total moment, μB/atom: 0.000
Symmetry: P4/mmm (123)
Total DFT energy (no corrections), eV per atom: -2.86
Energy above the lowest structure with this stoichiometry, eV/atom: 0.880